Record 1
BeAgPt2 | PBE | optimized geometry

Cell lengths 4.385, 4.385, 4.385 Å; angles 60.00, 60.00, 60.00 degrees
Fractional positions:
1 Be 0.750 0.750 0.750
2 Pt 0.250 0.250 0.250
3 Pt 0.000 0.000 0.000
4 Ag 0.500 0.500 0.500

## Properties
As for the energy relative to the elements: 0.0190 eV per atom. For the density of states at the Fermi level, the calculation gives 3.1 states/eV/cell.

Record 2
SnPt2O | PBE | optimized geometry

Cell lengths 4.929, 4.929, 7.227 Å; angles 70.06, 70.06, 90.00 degrees
Fractional positions:
1 Sn 0.000 0.000 0.000
2 Sn 0.750 0.250 0.500
3 Pt 0.495 0.125 0.250
4 Pt 0.255 0.625 0.250
5 Pt 0.875 0.745 0.750
6 Pt 0.375 0.505 0.750
7 O 0.500 0.500 0.000
8 O 0.250 0.750 0.500

## Properties
Its energy relative to the elements, uncorrected is -0.094 eV/atom. The calculation puts the distance to the lowest polymorph of the same formula at 0.0 kJ/mol of atoms. For the density of states at the Fermi level, the calculation gives 2.2 states/eV/cell.

Record 3
HgBiS2Br | PBE | optimized geometry

Cell lengths 4.339, 8.082, 10.909 Å; angles 106.55, 90.00, 90.00 degrees
Fractional positions:
1 S 0.250 0.467 0.864
2 S 0.750 0.667 0.644
3 S 0.250 0.333 0.356
4 S 0.750 0.533 0.136
5 Hg 0.750 0.488 0.378
6 Hg 0.250 0.512 0.622
7 Br 0.250 0.907 0.113
8 Br 0.750 0.093 0.887
9 Bi 0.750 0.692 0.951
10 Bi 0.250 0.308 0.049

## Properties
Its energy relative to the elements, uncorrected is -0.255 eV/atom.

| no. | total moment (μB/atom) |
| --- | --- |
| 1 | 0.00 |
| 2 | 0.00 |
| 3 | 0.00 |